(1)
DFT (PBE-GGA) results for an optimized crystal structure of CaGePt2.

It has space group P4/nmm (No. 129, origin choice 2), with a = 3.997 Å, b = 3.997 Å, c = 9.802 Å, α = 90.00°, β = 90.00° and γ = 90.00°. The inequivalent atoms are Ca at (0.250, 0.250, 0.207), Ge at (0.250, 0.250, 0.661), Pt at (0.250, 0.250, 0.908) and Pt at (0.250, 0.750, 0.500).

The energy of formation from the pure elements is -0.718 eV/atom.

(2)
DFT (PBE-GGA) results for an optimized crystal structure of NaNiC2Se.

It has space group P4/mmm (No. 123), with a = 3.772 Å, b = 3.772 Å, c = 5.270 Å, α = 90.00°, β = 90.00° and γ = 90.00°. The inequivalent atoms are Na at (0.000, 0.000, 0.000), Ni at (0.500, 0.500, 0.500), C at (0.000, 0.500, 0.500) and Se at (0.500, 0.500, 0.000).

The calculation puts the formation energy from raw total energies at 1.26 eV/atom.

(3)
DFT (PBE-GGA) results for an optimized crystal structure of Pm2SnGe3Rh4.

It has space group P-4m2 (No. 115), with a = 4.287 Å, b = 4.287 Å, c = 10.388 Å, α = 90.00°, β = 90.00° and γ = 90.00°. The inequivalent atoms are Pm at (0.000, 0.500, 0.246), Sn at (0.000, 0.000, 0.500), Ge at (0.000, 0.500, 0.875), Ge at (0.500, 0.500, 0.500), Rh at (0.000, 0.000, 0.000), Rh at (0.000, 0.500, 0.641) and Rh at (0.500, 0.500, 0.000).

The energy of formation from the pure elements is -0.824 eV/atom.

(4)
DFT (PBE-GGA) results for an optimized crystal structure of BaZr2Cl.

It has space group Fm-3m (No. 225), with a = 7.430 Å, b = 7.430 Å, c = 7.430 Å, α = 90.00°, β = 90.00° and γ = 90.00°. The inequivalent atoms are Ba at (0.000, 0.000, 0.000), Zr at (0.250, 0.250, 0.250) and Cl at (0.000, 0.000, 0.500).

The calculation puts the formation energy from raw total energies at 0.79 eV/atom. For the energy above the most stable polymorph in this dataset, the calculation gives 1104.6 meV per atom.

(5)
DFT (PBE-GGA) results for an optimized crystal structure of K2Ac2PaSe6.

It has space group C2/m (No. 12), with a = 7.800 Å, b = 13.297 Å, c = 8.216 Å, α = 90.00°, β = 108.27° and γ = 90.00°. The inequivalent atoms are K at (0.000, 0.169, 0.000), Ac at (0.000, 0.335, 0.500), Pa at (0.000, 0.000, 0.500), Se at (0.224, 0.157, 0.706) and Se at (0.237, 0.000, 0.293).

The calculation puts the formation energy from raw total energies at -1.68 eV/atom.

(6)
DFT (PBE-GGA) results for an optimized crystal structure of TbPm4HoTm2.

It has space group P2/m (No. 10), with a = 6.210 Å, b = 3.592 Å, c = 11.797 Å, α = 90.00°, β = 100.18° and γ = 90.00°. The inequivalent atoms are Tb at (0.000, 0.000, 0.000), Pm at (0.250, 0.000, 0.750), Pm at (0.251, 0.500, 0.251), Ho at (0.000, 0.500, 0.500), Tm at (0.500, 0.000, 0.500) and Tm at (0.500, 0.500, 0.000).

The energy of formation from the pure elements is 0.017 eV/atom.

These records have raw total energy values of -5.393; -4.544; -6.500; -4.422; -5.391; -4.627 eV per atom, in the order they appear.